(1)
Here is a geometry-optimized Mn5Mo3N12 structure from Alexandria. Energies are from PBE.

As for the crystal system: cubic. For the formation energy (no corrections), the calculation gives 0.0721 eV/atom. The calculated density is 6.2 Mg/m³. Its magnetization is 59.765 μB per cell. The calculation puts the density of states at the Fermi level at 106.611 states/eV/cell.

It has space group Ia-3d (No. 230), with a = 11.608 Å, b = 11.608 Å, c = 11.608 Å, α = 90.00°, β = 90.00° and γ = 90.00°. The distinct sites, in fractional coordinates, are Mn at (0.000, 0.000, 0.000), Mn at (0.000, 0.250, 0.375), Mo at (0.000, 0.250, 0.125) and N at (0.029, 0.067, 0.654).

***

(2)
Here is a geometry-optimized MnMoN structure from Alexandria. Energies are from PBE.

As for the crystal system: tetragonal. For the formation energy (no corrections), the calculation gives 0.2112 eV/atom. The calculated density is 8.8 Mg/m³. Its magnetization is 0.000 μB per cell. The calculation puts the density of states at the Fermi level at 2.909 states/eV/cell.

It has space group I4mm (No. 107), with a = 2.601 Å, b = 2.601 Å, c = 9.170 Å, α = 90.00°, β = 90.00° and γ = 90.00°. The distinct sites, in fractional coordinates, are Mn at (0.000, 0.000, 0.000), Mo at (0.000, 0.000, 0.721) and N at (0.000, 0.000, 0.406).

***

(3)
Here is a geometry-optimized Mn2Mo3N structure from Alexandria. Energies are from PBE.

As for the crystal system: cubic. For the formation energy (no corrections), the calculation gives -0.1138 eV/atom. The calculated density is 9.1 Mg/m³. Its magnetization is 0.007 μB per cell. The calculation puts the density of states at the Fermi level at 30.127 states/eV/cell.

It has space group P4_132 (No. 213), with a = 6.692 Å, b = 6.692 Å, c = 6.692 Å, α = 90.00°, β = 90.00° and γ = 90.00°. The distinct sites, in fractional coordinates, are Mn at (0.074, 0.074, 0.074), Mo at (0.046, 0.875, 0.704) and N at (0.125, 0.625, 0.875).

***

(4)
Here is a geometry-optimized MnMoN structure from Alexandria. Energies are from PBE.

As for the crystal system: trigonal. For the formation energy (no corrections), the calculation gives 0.3571 eV/atom. The calculated density is 8.8 Mg/m³. Its magnetization is 0.000 μB per cell. The calculation puts the density of states at the Fermi level at 2.068 states/eV/cell.

It has space group P3m1 (No. 156), with a = 3.5734 Å, b = 3.5734 Å, c = 2.8255 Å, α = 90.00°, β = 90.00° and γ = 120.00°. The distinct sites, in fractional coordinates, are Mn at (0.0000, 0.0000, 0.0000), Mo at (0.3333, 0.6667, 0.5013) and N at (0.6667, 0.3333, 0.9992).

***

(5)
Here is a geometry-optimized MnMoN structure from Alexandria. Energies are from PBE.

As for the crystal system: monoclinic. For the formation energy (no corrections), the calculation gives -0.1394 eV/atom. The calculated density is 8.0 Mg/m³. Its magnetization is 9.860 μB per cell. The calculation puts the density of states at the Fermi level at 6.670 states/eV/cell.

It has space group P2_1/c (No. 14), with a = 4.594 Å, b = 5.849 Å, c = 5.124 Å, α = 90.00°, β = 90.38° and γ = 90.00°. The distinct sites, in fractional coordinates, are Mn at (0.247, 0.121, 0.402), Mo at (0.244, 0.618, 0.421) and N at (0.491, 0.127, 0.736).

***

(6)
Here is a geometry-optimized MnMo2N structure from Alexandria. Energies are from PBE.

As for the crystal system: tetragonal. For the formation energy (no corrections), the calculation gives 0.4342 eV/atom. The calculated density is 7.1 Mg/m³. Its magnetization is 0.000 μB per cell. The calculation puts the density of states at the Fermi level at 7.612 states/eV/cell.

It has space group I-42d (No. 122), with a = 5.062 Å, b = 5.062 Å, c = 9.466 Å, α = 90.00°, β = 90.00° and γ = 90.00°. The distinct sites, in fractional coordinates, are Mn at (0.000, 0.000, 0.000), Mo at (0.192, 0.250, 0.625) and N at (0.000, 0.000, 0.500).

***

(7)
Here is a geometry-optimized MnMoN3 structure from Alexandria. Energies are from PBE.

As for the crystal system: cubic. For the formation energy (no corrections), the calculation gives 0.6520 eV/atom. The calculated density is 5.3 Mg/m³. Its magnetization is 4.315 μB per cell. The calculation puts the density of states at the Fermi level at 2.343 states/eV/cell.

It has space group Pm-3m (No. 221), with a = 3.928 Å, b = 3.928 Å, c = 3.928 Å, α = 90.00°, β = 90.00° and γ = 90.00°. The distinct sites, in fractional coordinates, are Mn at (0.000, 0.000, 0.000), Mo at (0.500, 0.500, 0.500) and N at (0.000, 0.500, 0.500).

***

(8)
Here is a geometry-optimized Mn3Mo3N structure from Alexandria. Energies are from PBE.

As for the crystal system: cubic. For the formation energy (no corrections), the calculation gives -0.1915 eV/atom. The calculated density is 9.1 Mg/m³. Its magnetization is 12.149 μB per cell. The calculation puts the density of states at the Fermi level at 99.757 states/eV/cell.

It has space group Fd-3m (No. 227, origin choice 2), with a = 11.080 Å, b = 11.080 Å, c = 11.080 Å, α = 90.00°, β = 90.00° and γ = 90.00°. The distinct sites, in fractional coordinates, are Mn at (0.000, 0.000, 0.000), Mn at (0.046, 0.046, 0.204), Mo at (0.074, 0.375, 0.875) and N at (0.000, 0.000, 0.500).